[1]
Below is SiHgIr at its PBEsol-relaxed geometry, with properties calculated at the meta-GGA SCAN level.

a = 4.327 Å, b = 4.327 Å, c = 4.327 Å
α = 60.00°, β = 60.00°, γ = 60.00°
Positions (direct):
Hg 0.750 0.750 0.750
Ir 0.000 0.000 0.000
Si 0.500 0.500 0.500

Results
raw formation energy: 1.105 eV/atom
total moment: 0.00 μB per formula unit

[2]
Below is KTcPt2 at its PBEsol-relaxed geometry, with properties calculated at the meta-GGA SCAN level.

a = 2.688 Å, b = 4.367 Å, c = 7.283 Å
α = 93.67°, β = 90.00°, γ = 107.93°
Each line ends with the local moment (μB).
Positions (direct):
K 0.500 0.000 0.000  0.00
Pt 0.744 0.487 0.668  0.06
Pt 0.256 0.513 0.332  0.06
Tc 0.000 0.000 0.500  0.65

Results
ΔH_f (0 K): 1.00 eV per formula unit
total moment: 0.78 μB per formula unit

[3]
Below is CdAgAu2 at its PBEsol-relaxed geometry, with properties calculated at the meta-GGA SCAN level.

a = 2.986 Å, b = 2.986 Å, c = 7.814 Å
α = 90.00°, β = 90.00°, γ = 90.01°
Positions (direct):
Au 0.000 0.000 0.001
Au 0.500 0.500 0.753
Ag 0.500 0.500 0.245
Cd 0.000 0.000 0.500

Results
ΔH_f (0 K): -0.37 eV per formula unit
total moment: 0.00 μB per formula unit

[4]
Below is YTlP2Se6 at its PBEsol-relaxed geometry, with properties calculated at the meta-GGA SCAN level.

a = 6.695 Å, b = 7.456 Å, c = 10.059 Å
α = 90.00°, β = 90.82°, γ = 90.00°
Positions (direct):
Y 0.713 0.501 0.502
Y 0.287 0.001 0.498
Tl 0.182 0.221 0.991
Tl 0.818 0.721 0.009
P 0.813 0.007 0.677
P 0.187 0.507 0.323
P 0.686 0.229 0.800
P 0.314 0.729 0.200
Se 0.570 0.805 0.673
Se 0.430 0.305 0.327
Se 0.423 0.312 0.674
Se 0.577 0.812 0.326
Se 0.871 0.136 0.480
Se 0.129 0.636 0.520
Se 0.903 0.443 0.769
Se 0.097 0.943 0.231
Se 0.905 0.409 0.239
Se 0.095 0.909 0.761
Se 0.648 0.131 0.998
Se 0.352 0.631 0.002

Results
raw formation energy: -0.742 eV/atom
total moment: 0.00 μB per formula unit

[5]
Below is Ba2TiNiP at its PBEsol-relaxed geometry, with properties calculated at the meta-GGA SCAN level.

a = 4.090 Å, b = 6.206 Å, c = 6.206 Å
α = 90.00°, β = 90.00°, γ = 90.00°
Each line ends with the local moment (μB).
Positions (direct):
Ni 0.500 0.000 0.000  -0.22
Ba 0.000 0.000 0.500  0.10
Ba 0.000 0.500 0.000  0.10
P 0.000 0.000 0.000  -0.03
Ti 0.500 0.500 0.500  2.12

Results
ΔH_f (0 K): 0.33 eV per formula unit
total moment: 3.16 μB per formula unit

[6]
Below is La2ScRu at its PBEsol-relaxed geometry, with properties calculated at the meta-GGA SCAN level.

a = 3.687 Å, b = 5.093 Å, c = 5.093 Å
α = 90.00°, β = 90.00°, γ = 90.00°
Positions (direct):
La 0.000 0.000 0.500
La 0.000 0.500 0.000
Ru 0.500 0.500 0.500
Sc 0.500 0.000 0.000

Results
ΔH_f (0 K): 0.38 eV per formula unit
total moment: 0.00 μB per formula unit

[7]
Below is ZnCdRh at its PBEsol-relaxed geometry, with properties calculated at the meta-GGA SCAN level.

a = 3.085 Å, b = 3.085 Å, c = 5.302 Å
α = 106.91°, β = 106.91°, γ = 90.00°
Positions (direct):
Zn 0.315 0.315 0.630
Rh 0.683 0.683 0.367
Cd 0.002 0.002 0.004

Results
ΔH_f (0 K): -0.66 eV per formula unit
total moment: 0.00 μB per formula unit

[8]
Below is ZrBe2P at its PBEsol-relaxed geometry, with properties calculated at the meta-GGA SCAN level.

a = 2.908 Å, b = 3.191 Å, c = 5.576 Å
α = 90.00°, β = 90.00°, γ = 90.00°
Positions (direct):
P 0.000 0.000 0.449
Zr 0.500 0.500 0.742
Be 0.000 0.000 0.069
Be 0.500 0.500 0.241

Results
ΔH_f (0 K): -0.70 eV per formula unit
total moment: 0.00 μB per formula unit

[9]
Below is Sb2Pt2I at its PBEsol-relaxed geometry, with properties calculated at the meta-GGA SCAN level.

a = 3.910 Å, b = 3.910 Å, c = 8.539 Å
α = 103.24°, β = 103.24°, γ = 90.00°
Positions (direct):
I 0.000 0.000 0.000
Sb 0.363 0.363 0.727
Sb 0.637 0.637 0.273
Pt 0.250 0.750 0.500
Pt 0.750 0.250 0.500

Results
raw formation energy: -0.363 eV/atom
total moment: 0.00 μB per formula unit

[10]
Below is TaMn2Fe at its PBEsol-relaxed geometry, with properties calculated at the meta-GGA SCAN level.

a = 3.020 Å, b = 4.056 Å, c = 4.042 Å
α = 90.00°, β = 90.00°, γ = 90.00°
Each line ends with the local moment (μB).
Positions (direct):
Fe 0.000 0.500 0.500  0.84
Mn 0.000 0.000 0.000  -0.93
Mn 0.500 0.000 0.500  3.24
Ta 0.500 0.500 0.000  -0.03

Results
ΔH_f (0 K): -0.51 eV per formula unit
total moment: 3.17 μB per formula unit

[11]
Below is AlF3 at its PBEsol-relaxed geometry, with properties calculated at the meta-GGA SCAN level.

a = 6.930 Å, b = 6.930 Å, c = 7.129 Å
α = 90.00°, β = 90.00°, γ = 119.84°
Positions (direct):
Al 0.500 0.500 0.000
Al 0.500 0.500 0.500
Al 0.500 0.000 0.000
Al 0.500 0.000 0.500
Al 0.000 0.500 0.500
Al 0.000 0.500 0.000
F 0.213 0.787 0.468
F 0.787 0.213 0.968
F 0.213 0.787 0.032
F 0.787 0.213 0.532
F 0.420 0.210 0.028
F 0.580 0.790 0.528
F 0.790 0.580 0.472
F 0.210 0.420 0.972
F 0.580 0.790 0.972
F 0.420 0.210 0.472
F 0.210 0.420 0.528
F 0.790 0.580 0.028
F 0.524 0.476 0.750
F 0.476 0.524 0.250
F 0.455 0.996 0.750
F 0.545 0.004 0.250
F 0.004 0.545 0.750
F 0.996 0.455 0.250

Results
raw formation energy: -3.831 eV/atom
total moment: 0.00 μB per formula unit

[12]
Below is SbP4O12 at its PBEsol-relaxed geometry, with properties calculated at the meta-GGA SCAN level.

a = 5.460 Å, b = 7.265 Å, c = 13.749 Å
α = 90.00°, β = 90.00°, γ = 101.62°
Positions (direct):
Sb 0.486 0.453 0.262
Sb 0.514 0.547 0.762
P 0.003 0.527 0.124
P 0.022 0.586 0.902
P 0.997 0.473 0.624
P 0.098 0.053 0.332
P 0.203 0.150 0.676
P 0.978 0.414 0.402
P 0.902 0.947 0.832
P 0.797 0.850 0.176
O 0.942 0.032 0.231
O 0.225 0.603 0.666
O 0.755 0.540 0.637
O 0.616 0.739 0.252
O 0.804 0.478 0.844
O 0.973 0.268 0.666
O 0.271 0.532 0.884
O 0.245 0.460 0.137
O 0.775 0.397 0.166
O 0.356 0.169 0.304
O 0.027 0.732 0.166
O 0.058 0.968 0.731
O 0.951 0.196 0.389
O 0.644 0.831 0.804
O 0.049 0.804 0.889
O 0.081 0.878 0.386
O 0.701 0.889 0.080
O 0.196 0.522 0.344
O 0.729 0.468 0.384
O 0.919 0.122 0.886
O 0.384 0.261 0.752
O 0.948 0.546 0.012
O 0.052 0.454 0.512
O 0.299 0.111 0.580

Results
raw formation energy: -2.058 eV/atom
total moment: 0.00 μB per formula unit

[13]
Below is LaFeW2 at its PBEsol-relaxed geometry, with properties calculated at the meta-GGA SCAN level.

a = 3.132 Å, b = 3.132 Å, c = 7.372 Å
α = 90.00°, β = 90.00°, γ = 90.00°
Each line ends with the local moment (μB).
Positions (direct):
Fe 0.000 0.000 0.436  2.45
La 0.500 0.500 0.745  -0.08
W 0.000 0.000 0.059  0.36
W 0.500 0.500 0.260  -0.34

Results
ΔH_f (0 K): 1.94 eV per formula unit
total moment: 2.33 μB per formula unit

[14]
Below is Mg2ZnTc at its PBEsol-relaxed geometry, with properties calculated at the meta-GGA SCAN level.

a = 4.466 Å, b = 4.466 Å, c = 4.466 Å
α = 60.00°, β = 60.00°, γ = 60.00°
Positions (direct):
Mg 0.250 0.250 0.250
Mg 0.750 0.750 0.750
Tc 0.000 0.000 0.000
Zn 0.500 0.500 0.500

Results
ΔH_f (0 K): 0.87 eV per formula unit
total moment: 0.00 μB per formula unit

[15]
Below is FeReSe at its PBEsol-relaxed geometry, with properties calculated at the meta-GGA SCAN level.

a = 4.070 Å, b = 4.070 Å, c = 4.070 Å
α = 60.00°, β = 60.00°, γ = 60.00°
Each line ends with the local moment (μB).
Positions (direct):
Fe 0.500 0.500 0.500  2.51
Re 0.250 0.250 0.250  -0.06
Se 0.000 0.000 0.000  0.03

Results
raw formation energy: 0.437 eV/atom
total moment: 2.56 μB per formula unit

[16]
Below is Al2CdFe at its PBEsol-relaxed geometry, with properties calculated at the meta-GGA SCAN level.

a = 2.864 Å, b = 4.619 Å, c = 4.911 Å
α = 101.92°, β = 90.00°, γ = 108.06°
Each line ends with the local moment (μB).
Positions (direct):
Al 0.770 0.540 0.788  -0.02
Al 0.230 0.460 0.212  -0.02
Fe 0.500 0.000 0.000  2.01
Cd 0.000 0.000 0.500  -0.04

Results
ΔH_f (0 K): 0.20 eV per formula unit
total moment: 1.80 μB per formula unit

[17]
Below is Sr2ZrHg at its PBEsol-relaxed geometry, with properties calculated at the meta-GGA SCAN level.

a = 3.838 Å, b = 5.053 Å, c = 6.880 Å
α = 90.00°, β = 106.20°, γ = 90.00°
Positions (direct):
Hg 0.428 0.500 0.732
Sr 0.034 0.000 0.944
Sr 0.714 0.500 0.303
Zr 0.324 0.000 0.522

Results
ΔH_f (0 K): 0.26 eV per formula unit
total moment: 0.00 μB per formula unit

[18]
Below is NiTePdI2 at its PBEsol-relaxed geometry, with properties calculated at the meta-GGA SCAN level.

a = 4.915 Å, b = 5.134 Å, c = 5.134 Å
α = 90.00°, β = 90.00°, γ = 90.00°
Positions (direct):
I 0.000 0.000 0.500
I 0.000 0.500 0.000
Ni 0.000 0.000 0.000
Te 0.500 0.000 0.000
Pd 0.500 0.500 0.500

Results
raw formation energy: 0.608 eV/atom
total moment: 0.00 μB per formula unit

[19]
Below is Ge2AuF at its PBEsol-relaxed geometry, with properties calculated at the meta-GGA SCAN level.

a = 4.406 Å, b = 4.406 Å, c = 4.406 Å
α = 60.00°, β = 60.00°, γ = 60.00°
Positions (direct):
Ge 0.250 0.250 0.250
Ge 0.750 0.750 0.750
Au 0.500 0.500 0.500
F 0.000 0.000 0.000

Results
raw formation energy: -0.511 eV/atom
total moment: 0.00 μB per formula unit

[20]
Below is Sm2RuAu at its PBEsol-relaxed geometry, with properties calculated at the meta-GGA SCAN level.

a = 4.963 Å, b = 4.963 Å, c = 4.963 Å
α = 60.00°, β = 60.00°, γ = 60.00°
Positions (direct):
Ru 0.000 0.000 0.000
Au 0.500 0.500 0.500
Sm 0.250 0.250 0.250
Sm 0.750 0.750 0.750

Results
ΔH_f (0 K): -2.49 eV per formula unit
total moment: 0.01 μB per formula unit

[21]
Below is Ta2IrPb at its PBEsol-relaxed geometry, with properties calculated at the meta-GGA SCAN level.

a = 2.932 Å, b = 4.051 Å, c = 6.029 Å
α = 90.00°, β = 90.13°, γ = 90.00°
Positions (direct):
Ir 0.500 0.500 0.000
Pb 0.500 0.500 0.500
Ta 0.000 0.000 0.778
Ta 0.000 0.000 0.222

Results
ΔH_f (0 K): 0.10 eV per formula unit
total moment: 0.00 μB per formula unit

[22]
Below is LiTa2Tl at its PBEsol-relaxed geometry, with properties calculated at the meta-GGA SCAN level.

a = 3.414 Å, b = 3.414 Å, c = 6.304 Å
α = 90.00°, β = 90.00°, γ = 90.00°
Positions (direct):
Li 0.500 0.500 0.744
Ta 0.000 0.000 0.016
Ta 0.500 0.500 0.216
Tl 0.000 0.000 0.523

Results
ΔH_f (0 K): 1.09 eV per formula unit
total moment: 0.00 μB per formula unit

[23]
Below is Mn2AsOs at its PBEsol-relaxed geometry, with properties calculated at the meta-GGA SCAN level.

a = 3.797 Å, b = 3.797 Å, c = 4.376 Å
α = 115.71°, β = 115.71°, γ = 90.00°
Each line ends with the local moment (μB).
Positions (direct):
As 0.250 0.750 0.500  -0.03
Mn 0.000 0.000 0.000  2.49
Mn 0.750 0.250 0.500  1.41
Os 0.500 0.500 0.000  -0.08

Results
ΔH_f (0 K): 0.02 eV per formula unit
total moment: 3.83 μB per formula unit